# 1
{"formula": "CeBiPd6", "functional": "PBE", "state": "optimized geometry", "crystal_system": "hexagonal", "polymorph_energy_ev_per_atom": 0.045, "spacegroup": "P-6m2, No. 187", "dos_ef_per_ev_fu": 5.5, "lattice_angstrom": [[4.898, 0.000, 0.000], [0.000, 5.812, -0.188], [0.000, -2.742, 5.128]], "species": ["Pd", "Pd", "Pd", "Pd", "Pd", "Pd", "Bi", "Ce"], "fractional_positions": [[0.500, 0.913, 0.087], [0.000, 0.076, 0.413], [0.500, 0.424, 0.087], [0.500, 0.913, 0.576], [0.000, 0.587, 0.924], [0.000, 0.587, 0.413], [0.500, 0.417, 0.583], [0.000, 0.083, 0.917]]}

# 2
{"formula": "CaLaF3", "functional": "PBE", "state": "optimized geometry", "crystal_system": "cubic", "polymorph_energy_ev_per_atom": 0.018, "e_form_raw_ev_per_atom": -2.82, "spacegroup": "Pm-3m, No. 221", "dos_ef_per_ev_fu": 4.9, "lattice_angstrom": [[-2.013, -0.934, -3.948], [-3.302, -2.184, 2.200], [-2.357, 3.856, 0.290]], "species": ["F", "F", "F", "La", "Ca"], "fractional_positions": [[0.000, 0.000, 0.500], [0.000, 0.500, 0.000], [0.500, 0.000, 0.000], [0.500, 0.500, 0.500], [0.000, 0.000, 0.000]]}

# 3
{"formula": "YTm2Mg5", "functional": "PBE", "state": "optimized geometry", "crystal_system": "tetragonal", "total_energy_ev_per_atom": -2.99, "spacegroup": "I4/mmm, No. 139", "dos_ef_per_ev_fu": 5.5, "lattice_angstrom": [[-1.330, 3.880, 3.217], [-4.982, -0.512, -1.443], [2.058, -6.675, 4.679]], "species": ["Tm", "Tm", "Mg", "Mg", "Mg", "Mg", "Mg", "Y"], "fractional_positions": [[0.255, 0.255, 0.511], [0.745, 0.745, 0.489], [0.121, 0.621, 0.243], [0.379, 0.879, 0.757], [0.879, 0.379, 0.757], [0.500, 0.500, 0.000], [0.621, 0.121, 0.243], [0.000, 0.000, 0.000]]}

# 4
{"formula": "TbPm2Er2Tm2", "functional": "PBE", "state": "optimized geometry", "crystal_system": "monoclinic", "total_energy_ev_per_atom": -4.51, "spacegroup": "C2/m, No. 12", "dos_ef_per_ev_fu": 11.6, "lattice_angstrom": [[3.497, 0.000, 0.000], [-1.749, 5.568, 1.687], [0.000, 0.475, 11.731]], "species": ["Tb", "Er", "Er", "Tm", "Tm", "Pm", "Pm"], "fractional_positions": [[0.000, 0.000, 0.500], [0.550, 0.101, 0.231], [0.450, 0.899, 0.769], [0.226, 0.452, 0.636], [0.774, 0.548, 0.364], [0.329, 0.658, 0.084], [0.671, 0.342, 0.916]]}

# 5
{"formula": "Tm4PuBi5", "functional": "PBE", "state": "optimized geometry", "crystal_system": "orthorhombic", "total_energy_ev_per_atom": -5.85, "spacegroup": "Immm, No. 71", "dos_ef_per_ev_fu": 18.0, "lattice_angstrom": [[-3.137, 3.128, -0.446], [0.485, -0.409, -6.273], [-6.540, -9.263, 3.267]], "species": ["Tm", "Tm", "Tm", "Tm", "Bi", "Bi", "Bi", "Bi", "Bi", "Pu"], "fractional_positions": [[0.600, 0.600, 0.201], [0.400, 0.400, 0.799], [0.798, 0.798, 0.596], [0.202, 0.202, 0.404], [0.800, 0.300, 0.601], [0.603, 0.103, 0.205], [0.000, 0.500, 0.000], [0.397, 0.897, 0.795], [0.200, 0.700, 0.399], [0.000, 0.000, 0.000]]}

# 6
{"formula": "Pr3AlIn4", "functional": "PBE", "state": "optimized geometry", "crystal_system": "orthorhombic", "total_energy_ev_per_atom": -3.88, "spacegroup": "Immm, No. 71", "dos_ef_per_ev_fu": 5.8, "lattice_angstrom": [[4.966, 0.000, 0.000], [0.000, 7.529, 0.000], [-2.483, -3.765, 6.571]], "species": ["In", "In", "In", "In", "Pr", "Pr", "Pr", "Al"], "fractional_positions": [[0.626, 0.834, 0.252], [0.374, 0.166, 0.748], [0.626, 0.418, 0.252], [0.374, 0.582, 0.748], [0.838, 0.838, 0.675], [0.162, 0.162, 0.325], [0.000, 0.500, 0.000], [0.500, 0.000, 0.000]]}

# 7
{"formula": "Cd2SnHg7", "functional": "PBE", "state": "optimized geometry", "crystal_system": "orthorhombic", "total_energy_ev_per_atom": -0.72, "spacegroup": "Cmmm, No. 65", "dos_ef_per_ev_fu": 3.1, "lattice_angstrom": [[-0.724, -3.126, 0.422], [2.455, -1.811, -9.192], [7.760, -1.026, 5.703]], "species": ["Hg", "Hg", "Hg", "Hg", "Hg", "Hg", "Hg", "Cd", "Cd", "Sn"], "fractional_positions": [[0.500, 0.854, 0.640], [0.500, 0.500, 0.500], [0.000, 0.672, 0.328], [0.500, 0.640, 0.854], [0.000, 0.328, 0.672], [0.500, 0.146, 0.360], [0.500, 0.360, 0.146], [0.500, 0.829, 0.171], [0.500, 0.171, 0.829], [0.000, 0.000, 0.000]]}

# 8
{"formula": "Ac3SnHg2Pd9", "functional": "PBE", "state": "optimized geometry", "crystal_system": "trigonal", "total_energy_ev_per_atom": -4.60, "spacegroup": "P-3m1, No. 164", "dos_ef_per_ev_fu": 9.8, "lattice_angstrom": [[-3.850, -5.316, 2.388], [6.948, -0.613, -0.377], [0.767, 3.347, 8.687]], "species": ["Pd", "Pd", "Pd", "Pd", "Pd", "Pd", "Pd", "Pd", "Pd", "Hg", "Hg", "Ac", "Ac", "Ac", "Sn"], "fractional_positions": [[0.739, 0.870, 0.275], [0.500, 0.500, 0.000], [0.261, 0.130, 0.725], [0.000, 0.500, 0.000], [0.870, 0.739, 0.725], [0.130, 0.870, 0.275], [0.500, 0.000, 0.000], [0.130, 0.261, 0.275], [0.870, 0.130, 0.725], [0.667, 0.333, 0.806], [0.333, 0.667, 0.194], [0.000, 0.000, 0.000], [0.667, 0.333, 0.257], [0.333, 0.667, 0.743], [0.000, 0.000, 0.500]]}

Copy entry 5 word for word.
{"formula": "Tm4PuBi5", "functional": "PBE", "state": "optimized geometry", "crystal_system": "orthorhombic", "total_energy_ev_per_atom": -5.85, "spacegroup": "Immm, No. 71", "dos_ef_per_ev_fu": 18.0, "lattice_angstrom": [[-3.137, 3.128, -0.446], [0.485, -0.409, -6.273], [-6.540, -9.263, 3.267]], "species": ["Tm", "Tm", "Tm", "Tm", "Bi", "Bi", "Bi", "Bi", "Bi", "Pu"], "fractional_positions": [[0.600, 0.600, 0.201], [0.400, 0.400, 0.799], [0.798, 0.798, 0.596], [0.202, 0.202, 0.404], [0.800, 0.300, 0.601], [0.603, 0.103, 0.205], [0.000, 0.500, 0.000], [0.397, 0.897, 0.795], [0.200, 0.700, 0.399], [0.000, 0.000, 0.000]]}